[1]
Density functional theory data (PBE) for a relaxed structure of FeTc.

abc: 4.921 4.921 4.527
angles: 90.00 90.00 90.00
Element x y z (fractional)
Tc: 0.810 0.190 0.500
Fe: 0.325 0.325 0.500
Fe: 0.825 0.175 0.000
Fe: 0.675 0.675 0.500
Fe: 0.175 0.825 0.000
Tc: 0.690 0.690 0.000
Tc: 0.310 0.310 0.000
Tc: 0.190 0.810 0.500

Properties
ΔH_f (0 K) = 811 meV per atom
space group = P4_2/mnm, No. 136

[2]
Density functional theory data (PBE) for a relaxed structure of ZnO.

abc: 5.673 5.673 5.673
angles: 90.00 90.00 90.00
Element x y z (fractional)
O: 0.250 0.500 0.000
Zn: 0.500 0.250 0.000
Zn: 0.000 0.500 0.750
O: 0.750 0.500 0.000
Zn: 0.500 0.750 0.000
O: 0.000 0.750 0.500
O: 0.500 0.000 0.750
O: 0.500 0.000 0.250
O: 0.000 0.250 0.500
Zn: 0.000 0.500 0.250
Zn: 0.250 0.000 0.500
Zn: 0.750 0.000 0.500

Properties
raw formation energy = -1.3694 eV per atom
space group = Pm-3n, No. 223

| no. | E_tot (eV/cell) | size of the total moment (μB per formula unit) |
| --- | --- | --- |
| 1 | -68.8 | 0.0 |
| 2 | -53.8 | 0.0 |